(1)
DFT (PBE-GGA) results for an optimized crystal structure of MnSe2BrCl.

## Properties
- Total DFT energy (no corrections): -18.379 eV for the cell shown
- E_form (uncorrected): 1.280 eV per formula unit
- Theoretical density: 5017 kg/m³

Cell: 4.620 4.620 5.088 Å, 90.00 90.00 90.00°
Sites, in units of the cell vectors:
Mn1 0.000 0.000 0.000
Se1 0.000 0.500 0.000
Se2 0.500 0.000 0.000
Br1 0.000 0.000 0.500
Cl1 0.500 0.500 0.500

---

(2)
DFT (PBE-GGA) results for an optimized crystal structure of MnSeBr2Cl.

## Properties
- Total DFT energy (no corrections): -16.746 eV for the cell shown
- E_form (uncorrected): 1.101 eV per formula unit
- Theoretical density: 4834 kg/m³

Cell: 4.977 4.977 4.564 Å, 90.00 90.00 90.00°
Sites, in units of the cell vectors:
Mn1 0.000 0.000 0.000
Se1 0.000 0.000 0.500
Br1 0.000 0.500 0.000
Br2 0.500 0.000 0.000
Cl1 0.500 0.500 0.500

---

(3)
DFT (PBE-GGA) results for an optimized crystal structure of MnSe2BrCl.

## Properties
- Total DFT energy (no corrections): -15.522 eV for the cell shown
- E_form (uncorrected): 4.136 eV per formula unit
- Theoretical density: 4150 kg/m³

Cell: 5.086 5.086 5.078 Å, 90.00 90.00 90.00°
Sites, in units of the cell vectors:
Mn1 0.000 0.000 0.000
Se1 0.000 0.500 0.500
Se2 0.500 0.000 0.500
Br1 0.500 0.500 0.000
Cl1 0.500 0.500 0.500